Below is an optimized crystal structure of CeSm15Er4, with properties calculated at the GGA-PBE level.

abc: 5.094 5.094 25.451
angles: 90.00 90.00 90.00
Each line ends with the local moment (μB).
Fractional positions:
1 Sm 0.000 0.500 0.700  0.00
2 Sm 0.500 0.000 0.500  0.00
3 Sm 0.500 0.000 0.100  0.01
4 Sm 0.500 0.000 0.900  0.01
5 Sm 0.500 0.000 0.300  0.00
6 Sm 0.500 0.500 0.400  0.00
7 Sm 0.500 0.000 0.700  0.00
8 Sm 0.000 0.500 0.300  0.00
9 Sm 0.500 0.500 0.201  -0.01
10 Sm 0.500 0.500 0.799  -0.01
11 Sm 0.500 0.500 0.600  0.00
12 Sm 0.000 0.500 0.100  0.01
13 Sm 0.000 0.500 0.500  0.00
14 Sm 0.000 0.500 0.900  0.01
15 Sm 0.500 0.500 0.000  0.03
16 Er 0.000 0.000 0.800  -0.02
17 Er 0.000 0.000 0.400  -0.01
18 Er 0.000 0.000 0.600  -0.01
19 Er 0.000 0.000 0.200  -0.02
20 Ce 0.000 0.000 0.000  0.77

Values from the calculation:
magnetization	0.054	μB per atom
Fermi-level density of states	31.37	states/eV per cell

=====

Below is an optimized crystal structure of CeSm4Er6, with properties calculated at the GGA-PBE level.

abc: 9.626 9.626 9.626
angles: 57.92 139.95 139.95
Each line ends with the local moment (μB).
Fractional positions:
1 Er 0.636 0.192 0.192  0.00
2 Er 0.000 0.808 0.444  0.00
3 Er 0.500 0.000 0.500  0.01
4 Er 0.500 0.500 0.000  0.01
5 Er 0.364 0.556 0.556  0.00
6 Er 0.000 0.444 0.808  0.00
7 Ce 0.000 0.000 0.000  0.20
8 Sm 0.000 0.636 0.015  0.00
9 Sm 0.000 0.015 0.636  0.00
10 Sm 0.621 0.985 0.985  0.00
11 Sm 0.379 0.364 0.364  0.00

Values from the calculation:
magnetization	0.020	μB per atom
Fermi-level density of states	15.95	states/eV per cell

=====

Below is an optimized crystal structure of CeSm2Er, with properties calculated at the GGA-PBE level.

abc: 5.040 5.042 5.042
angles: 90.00 90.00 90.00
Each line ends with the local moment (μB).
Fractional positions:
1 Er 0.500 0.500 0.500  0.00
2 Sm 0.000 0.500 0.000  -0.01
3 Sm 0.000 0.000 0.500  -0.01
4 Ce 0.500 0.000 0.000  0.57

Values from the calculation:
magnetization	0.158	μB per atom
energy relative to the lowest polymorph listed for this composition	9.7	meV per atom
Fermi-level density of states	7.64	states/eV per cell

=====

How do the records compare in uncorrected energy? In the order shown, they have -4.719 -4.427 -4.911 eV per atom.
How do the records compare in ΔE_f? In the order shown, they have 29.2 316.9 72.7 meV per atom.